Below is crystalline MgCu2Se4 at its relaxed geometry, with properties calculated at the PBEsol level.

Lattice parameters (Å, degrees): 5.009 5.873 5.873 79.52 64.76 64.76
Sites, in units of the cell vectors:
Cu1 0.250 0.500 0.500
Cu2 0.750 0.500 0.500
Mg1 0.000 0.000 0.000
Se1 0.805 0.491 0.900
Se2 0.195 0.509 0.100
Se3 0.295 0.900 0.509
Se4 0.705 0.100 0.491

Calculated values
* calculated total energy: -3.911 eV/atom
* E_form (uncorrected): -154 kJ/mol of formula units
* symmetry: No. 87